1.
A plane-wave DFT calculation with PBE was carried out for crystalline Ba2TaAu at its relaxed geometry.

The value obtained for the size of the total moment is 2.925 μB per formula unit. The relative energy among the computed polymorphs is 2.223 eV/f.u. Its space-group type is No. 216. The calculation puts the density of states at the Fermi level at 1.2163 states/eV per atom. Its density is 9.11 g/cm³.

Unit cell a=5.520 b=5.520 c=5.520 alpha=60.00 beta=60.00 gamma=60.00
Element x y z (fractional)
Ba 0.000 0.000 0.000
Ba 0.250 0.250 0.250
Ta 0.750 0.750 0.750
Au 0.500 0.500 0.500

***

2.
A plane-wave DFT calculation with PBE was carried out for crystalline Y2UPaC4 at its relaxed geometry.

The value obtained for the size of the total moment is 0.000 μB per formula unit. Its space-group type is No. 10. The calculation puts the density of states at the Fermi level at 0.4946 states/eV per atom. Its density is 8.84 g/cm³. The total DFT energy (no corrections) comes out at -9.1761 eV per atom.

Unit cell a=6.135 b=3.616 c=6.253 alpha=90.00 beta=109.83 gamma=90.00
Element x y z (fractional)
Y 0.000 0.000 0.000
Y 0.000 0.500 0.500
U 0.500 0.000 0.500
Pa 0.500 0.500 0.000
C 0.280 0.000 0.750
C 0.283 0.500 0.270
C 0.717 0.500 0.730
C 0.720 0.000 0.250

***

3.
A plane-wave DFT calculation with PBE was carried out for crystalline Tb8NdEr4 at its relaxed geometry.

The value obtained for the size of the total moment is 0.000 μB per formula unit. Its space-group type is No. 166. The calculation puts the density of states at the Fermi level at 1.0987 states/eV per atom. Its density is 8.31 g/cm³. The total DFT energy (no corrections) comes out at -4.4258 eV per atom.

Unit cell a=10.010 b=10.010 c=10.010 alpha=42.63 beta=42.63 gamma=42.63
Element x y z (fractional)
Tb 0.197 0.751 0.751
Tb 0.218 0.218 0.218
Tb 0.249 0.249 0.803
Tb 0.249 0.803 0.249
Tb 0.751 0.197 0.751
Tb 0.751 0.751 0.197
Tb 0.782 0.782 0.782
Tb 0.803 0.249 0.249
Nd 0.500 0.500 0.500
Er 0.000 0.000 0.000
Er 0.000 0.500 0.500
Er 0.500 0.000 0.500
Er 0.500 0.500 0.000

***

4.
A plane-wave DFT calculation with PBE was carried out for crystalline LaTiGaSn2 at its relaxed geometry.

The value obtained for the size of the total moment is 1.892 μB per formula unit. Its space-group type is No. 123. The calculation puts the density of states at the Fermi level at 1.1011 states/eV per atom. Its density is 5.36 g/cm³. The total DFT energy (no corrections) comes out at -4.5954 eV per atom.

Unit cell a=5.438 b=5.438 c=5.171 alpha=90.00 beta=90.00 gamma=90.00
Element x y z (fractional)
La 0.000 0.000 0.000
Ti 0.500 0.500 0.000
Ga 0.500 0.500 0.500
Sn 0.000 0.500 0.500
Sn 0.500 0.000 0.500

***

5.
A plane-wave DFT calculation with PBE was carried out for crystalline Sc3Cu at its relaxed geometry.

The value obtained for the size of the total moment is 0.003 μB per formula unit. The relative energy among the computed polymorphs is 0.994 eV/f.u. Its space-group type is No. 225. The calculation puts the density of states at the Fermi level at 1.4371 states/eV per atom. Its density is 4.00 g/cm³.

Unit cell a=4.882 b=4.882 c=4.882 alpha=60.00 beta=60.00 gamma=60.00
Element x y z (fractional)
Sc 0.000 0.000 0.000
Sc 0.250 0.250 0.250
Sc 0.750 0.750 0.750
Cu 0.500 0.500 0.500

***

6.
A plane-wave DFT calculation with PBE was carried out for crystalline TbNd3In2 at its relaxed geometry.

The value obtained for the size of the total moment is 0.000 μB per formula unit. The relative energy among the computed polymorphs is 2.390 eV/f.u. Its space-group type is No. 71. The calculation puts the density of states at the Fermi level at 1.2134 states/eV per atom. Its density is 7.11 g/cm³.

Unit cell a=10.167 b=10.167 c=10.167 alpha=160.53 beta=146.74 gamma=38.83
Element x y z (fractional)
Tb 0.000 0.000 0.000
Nd 0.182 0.182 0.000
Nd 0.500 0.000 0.500
Nd 0.818 0.818 0.000
In 0.352 0.352 0.000
In 0.648 0.648 0.000

***

7.
A plane-wave DFT calculation with PBE was carried out for crystalline MgMnIr at its relaxed geometry.

The value obtained for the size of the total moment is 3.323 μB per formula unit. Its space-group type is No. 194. The calculation puts the density of states at the Fermi level at 0.9759 states/eV per atom. Its density is 9.80 g/cm³. The total DFT energy (no corrections) comes out at -6.6172 eV per atom.

Unit cell a=4.377 b=4.377 c=5.546 alpha=90.00 beta=90.00 gamma=120.00
Element x y z (fractional)
Mg 0.000 0.000 0.000
Mg 0.000 0.000 0.500
Mn 0.333 0.667 0.250
Mn 0.667 0.333 0.750
Ir 0.333 0.667 0.750
Ir 0.667 0.333 0.250

***

8.
A plane-wave DFT calculation with PBE was carried out for crystalline LaNd3Y2As6 at its relaxed geometry.

The value obtained for the size of the total moment is 0.000 μB per formula unit. Its space-group type is No. 12. The calculation puts the density of states at the Fermi level at 0.1251 states/eV per atom. Its density is 6.14 g/cm³. The total DFT energy (no corrections) comes out at -6.5316 eV per atom.

Unit cell a=7.349 b=7.349 c=7.349 alpha=99.60 beta=99.60 gamma=120.00
Element x y z (fractional)
La 0.000 0.000 0.000
Nd 0.165 0.835 0.500
Nd 0.500 0.500 0.500
Nd 0.835 0.165 0.500
Y 0.333 0.667 0.000
Y 0.667 0.333 0.000
As 0.082 0.422 0.246
As 0.259 0.259 0.755
As 0.422 0.082 0.246
As 0.578 0.918 0.754
As 0.741 0.741 0.245
As 0.918 0.578 0.754

***

9.
A plane-wave DFT calculation with PBE was carried out for crystalline HfTiBi at its relaxed geometry.

The value obtained for the size of the total moment is 0.000 μB per formula unit. Its space-group type is No. 74. The calculation puts the density of states at the Fermi level at 1.2699 states/eV per atom. Its density is 10.90 g/cm³. The total DFT energy (no corrections) comes out at -7.1328 eV per atom.

Unit cell a=5.668 b=5.668 c=5.668 alpha=122.47 beta=111.40 gamma=95.63
Element x y z (fractional)
Hf 0.358 0.108 0.250
Hf 0.642 0.892 0.750
Ti 0.000 0.000 0.500
Ti 0.000 0.500 0.000
Bi 0.000 0.500 0.500
Bi 0.500 0.500 0.000

***

10.
A plane-wave DFT calculation with PBE was carried out for crystalline CdHgRh2 at its relaxed geometry.

The value obtained for the size of the total moment is 0.001 μB per formula unit. Its space-group type is No. 119. The calculation puts the density of states at the Fermi level at 1.3281 states/eV per atom. Its density is 12.57 g/cm³. The total DFT energy (no corrections) comes out at -3.8561 eV per atom.

Unit cell a=5.002 b=5.002 c=5.002 alpha=131.61 beta=131.61 gamma=70.84
Element x y z (fractional)
Cd 0.000 0.000 0.000
Hg 0.250 0.750 0.500
Rh 0.500 0.500 0.000
Rh 0.750 0.250 0.500

***

11.
A plane-wave DFT calculation with PBE was carried out for crystalline LuScFeRu at its relaxed geometry.

The value obtained for the size of the total moment is 1.219 μB per formula unit. Its space-group type is No. 216. The calculation puts the density of states at the Fermi level at 1.6995 states/eV per atom. Its density is 9.10 g/cm³. The total DFT energy (no corrections) comes out at -7.3728 eV per atom.

Unit cell a=4.599 b=4.599 c=4.599 alpha=60.00 beta=60.00 gamma=60.00
Element x y z (fractional)
Lu 0.000 0.000 0.000
Sc 0.500 0.500 0.500
Fe 0.750 0.750 0.750
Ru 0.250 0.250 0.250

***

12.
A plane-wave DFT calculation with PBE was carried out for crystalline SrCaTa2 at its relaxed geometry.

The value obtained for the size of the total moment is 0.019 μB per formula unit. The relative energy among the computed polymorphs is 2.050 eV/f.u. Its space-group type is No. 12. The calculation puts the density of states at the Fermi level at 1.7944 states/eV per atom. Its density is 7.35 g/cm³.

Unit cell a=5.815 b=5.815 c=6.501 alpha=93.82 beta=93.82 gamma=30.27
Element x y z (fractional)
Sr 0.000 0.000 0.000
Ca 0.500 0.500 0.500
Ta 0.246 0.246 0.676
Ta 0.754 0.754 0.324

***

> Look up the density of the eighth one.

6.14 g/cm³